i:
Below is a relaxed PmEr2Be crystal, with properties calculated at the PBE level.

* theoretical density: 7.9 g/cm3

Unit cell a=3.439 b=3.439 c=8.708 alpha=90.00 beta=90.00 gamma=90.00
Sites, in units of the cell vectors:
Be (0.500, 0.500, 0.000)
Er (0.000, 0.000, 0.189)
Pm (0.500, 0.500, 0.500)
Er (0.000, 0.000, 0.811)


ii:
Below is a relaxed PmEr2Be crystal, with properties calculated at the PBE level.

* theoretical density: 6.9 g/cm3

Unit cell a=3.449 b=3.449 c=11.534 alpha=81.40 beta=81.40 gamma=60.00
Sites, in units of the cell vectors:
Be (0.000, 0.000, 0.000)
Er (0.084, 0.084, 0.749)
Er (0.916, 0.916, 0.251)
Pm (0.500, 0.500, 0.500)


Each structure's energy above the most stable one, in eV/atom: i 0.000; ii 0.642.